Record 1
Density functional theory data (PBE) for crystalline MnNiCl5 at its relaxed geometry.

Structure (POSCAR):
```
MnNiCl5
1.0
6.1406 -0.1177 -2.1866
-1.0922 5.9508 -2.2555
0.1380 0.0654 9.2633
Mn Ni Cl
2 2 10
direct
0.5000 0.0000 0.0000
0.5000 0.0000 0.5000
0.8865 0.6539 0.2553
0.1135 0.3461 0.7447
0.7132 0.7290 0.0352
0.2460 0.6616 0.3837
0.3916 0.0159 0.2177
0.7724 0.7956 0.4691
0.2276 0.2044 0.5309
0.8169 0.2775 0.1804
0.1831 0.7225 0.8196
0.6084 0.9841 0.7823
0.7540 0.3384 0.6163
0.2868 0.2710 0.9648
```

## Properties
As for the total DFT energy (no corrections): -57.8 eV for the cell shown. The value obtained for the formation energy without anion corrections is -0.6708 eV/atom.



Record 2
Density functional theory data (PBE) for crystalline MnNi4Cl at its relaxed geometry.

Structure (POSCAR):
```
MnNi4Cl
1.0
0.0000 3.4030 3.4030
3.4030 0.0000 3.4030
3.4030 3.4030 0.0000
Mn Ni Cl
1 4 1
direct
0.0000 0.0000 0.0000
0.8769 0.3744 0.3744
0.3744 0.3744 0.8769
0.3744 0.8769 0.3744
0.3744 0.3744 0.3744
0.7500 0.7500 0.7500
```

## Properties
As for the total DFT energy (no corrections): -31.6 eV for the cell shown. The value obtained for the formation energy without anion corrections is 0.4243 eV/atom.



Record 3
Density functional theory data (PBE) for crystalline MnNiCl3 at its relaxed geometry.

Structure (POSCAR):
```
MnNiCl3
1.0
-3.3439 -1.2839 -2.9547
3.1739 -0.5832 -3.3386
0.5520 -4.4239 1.2976
Ni Mn Cl
1 1 3
direct
0.0000 0.0000 0.0000
0.5000 0.5000 0.5000
0.0000 0.5000 0.0000
0.0000 0.0000 0.5000
0.5000 0.0000 0.0000
```

## Properties
The calculation puts the energy above the lowest structure with this stoichiometry at 0 meV/atom. As for the total DFT energy (no corrections): -21.3 eV for the cell shown. The value obtained for the formation energy without anion corrections is -0.1590 eV/atom.



Record 4
Density functional theory data (PBE) for crystalline MnNi2Cl6 at its relaxed geometry.

Structure (POSCAR):
```
MnNi2Cl6
1.0
-2.7664 -0.0289 2.2198
5.3668 -2.5519 3.8211
-0.0989 9.3467 -0.0016
Mn Ni Cl
1 2 6
direct
0.0000 0.0000 0.5000
0.6677 0.3355 0.8374
0.3323 0.6646 0.1626
0.2961 0.5922 0.8914
0.7039 0.4078 0.1086
0.9610 0.9221 0.2101
0.6406 0.2812 0.5651
0.0390 0.0779 0.7899
0.3594 0.7188 0.4349
```

## Properties
As for the total DFT energy (no corrections): -38.5 eV for the cell shown. The value obtained for the formation energy without anion corrections is -0.7422 eV/atom.



Record 5
Density functional theory data (PBE) for crystalline Mn2NiCl8 at its relaxed geometry.

Structure (POSCAR):
```
Mn2NiCl8
1.0
-4.8676 -2.2101 -2.8958
3.5675 -4.3126 -4.8312
-0.3217 -6.5503 3.4141
Mn Ni Cl
2 1 8
direct
0.3469 0.1894 0.1894
0.6531 0.8106 0.8106
0.0000 0.0000 0.0000
0.8043 0.0853 0.7324
0.1957 0.2676 0.9147
0.7233 0.1754 0.1754
0.2767 0.8246 0.8246
0.8043 0.7324 0.0853
0.1957 0.9147 0.2676
0.2631 0.3807 0.3807
0.7369 0.6193 0.6193
```

## Properties
As for the total DFT energy (no corrections): -47.0 eV for the cell shown. The value obtained for the formation energy without anion corrections is -0.7357 eV/atom.



Record 6
Density functional theory data (PBE) for crystalline MnNiCl6 at its relaxed geometry.

Structure (POSCAR):
```
MnNiCl6
1.0
5.7755 -0.0073 -0.0226
0.0402 5.7318 3.3031
0.0059 0.0071 6.6155
Mn Ni Cl
1 1 6
direct
0.5000 0.0207 0.0207
0.0000 0.0207 0.0207
0.7400 0.7447 0.2968
0.2600 0.2968 0.7447
0.2631 0.0204 0.2971
0.2630 0.7445 0.0210
0.7370 0.0210 0.7445
0.7369 0.2971 0.0204
```

## Properties
As for the total DFT energy (no corrections): -31.9 eV for the cell shown. The value obtained for the formation energy without anion corrections is -0.7370 eV/atom.



Record 7
Density functional theory data (PBE) for crystalline Mn3NiCl at its relaxed geometry.

Structure (POSCAR):
```
Mn3NiCl
1.0
4.6233 0.0000 0.0000
0.0000 4.6233 0.0000
0.0000 0.0000 4.6233
Ni Mn Cl
1 3 1
direct
0.0000 0.0000 0.0000
0.0000 0.5000 0.0000
0.0000 0.0000 0.5000
0.5000 0.0000 0.0000
0.5000 0.5000 0.5000
```

## Properties
The calculation puts the energy above the lowest structure with this stoichiometry at 0 meV/atom. As for the total DFT energy (no corrections): -32.0 eV for the cell shown. The value obtained for the formation energy without anion corrections is 0.6218 eV/atom.



Record 8
Density functional theory data (PBE) for crystalline Mn3NiCl at its relaxed geometry.

Structure (POSCAR):
```
Mn3NiCl
1.0
4.0299 0.0000 0.0000
0.0000 4.0299 0.0000
0.0000 0.0000 4.0299
Ni Mn Cl
1 3 1
direct
0.5000 0.5000 0.5000
0.0000 0.5000 0.0000
0.0000 0.0000 0.5000
0.5000 0.0000 0.0000
0.0000 0.0000 0.0000
```

## Properties
The calculation puts the energy above the lowest structure with this stoichiometry at 403 meV/atom. As for the total DFT energy (no corrections): -30.0 eV for the cell shown. The value obtained for the formation energy without anion corrections is 1.0251 eV/atom.



Record 9
Density functional theory data (PBE) for crystalline Mn2NiCl8 at its relaxed geometry.

Structure (POSCAR):
```
Mn2NiCl8
1.0
-1.8598 2.5887 -0.7968
1.4096 -1.5683 -8.3861
-7.0185 -6.9959 0.4275
Mn Ni Cl
2 1 8
direct
0.1594 0.7141 0.3187
0.8406 0.2859 0.6813
0.5000 0.0000 0.0000
0.6040 0.5534 0.2080
0.3808 0.0700 0.7617
0.2508 0.2699 0.5016
0.9753 0.8243 0.9506
0.7492 0.7301 0.4984
0.6192 0.9300 0.2383
0.3960 0.4466 0.7920
0.0247 0.1757 0.0494
```

## Properties
As for the total DFT energy (no corrections): -47.0 eV for the cell shown. The value obtained for the formation energy without anion corrections is -0.7362 eV/atom.



Record 10
Density functional theory data (PBE) for crystalline Mn4NiCl at its relaxed geometry.

Structure (POSCAR):
```
Mn4NiCl
1.0
-2.4785 -3.0984 2.6398
-2.9166 1.5823 3.4207
-4.7215 -0.3512 -0.5435
Mn Ni Cl
4 1 1
direct
0.3754 0.8738 0.3754
0.8738 0.3754 0.3754
0.3754 0.3754 0.8738
0.3754 0.3754 0.3754
0.7500 0.7500 0.7500
0.0000 0.0000 0.0000
```

## Properties
As for the total DFT energy (no corrections): -39.3 eV for the cell shown. The value obtained for the formation energy without anion corrections is 0.8426 eV/atom.



Record 11
Density functional theory data (PBE) for crystalline MnNiPCl2 at its relaxed geometry.

Structure (POSCAR):
```
MnNiPCl2
1.0
-0.2670 1.8019 4.1239
-2.4062 -3.5483 1.3945
3.9922 -2.2238 1.2302
Ni Mn P Cl
1 1 1 2
direct
0.0000 0.0000 0.0000
0.5000 0.5000 0.5000
0.0000 0.0000 0.5000
0.0000 0.5000 0.0000
0.5000 0.0000 0.0000
```

## Properties
The calculation puts the energy above the lowest structure with this stoichiometry at 0 meV/atom. As for the total DFT energy (no corrections): -22.9 eV for the cell shown. The value obtained for the formation energy without anion corrections is 0.2351 eV/atom.



Record 12
Density functional theory data (PBE) for crystalline MnNiPCl2 at its relaxed geometry.

Structure (POSCAR):
```
MnNiPCl2
1.0
4.5582 0.0000 0.0000
0.0000 4.5582 0.0000
0.0000 0.0000 4.9598
Ni Mn P Cl
1 1 1 2
direct
0.5000 0.5000 0.5000
0.0000 0.0000 0.0000
0.0000 0.0000 0.5000
0.0000 0.5000 0.0000
0.5000 0.0000 0.0000
```

## Properties
The calculation puts the energy above the lowest structure with this stoichiometry at 195 meV/atom. As for the total DFT energy (no corrections): -21.9 eV for the cell shown. The value obtained for the formation energy without anion corrections is 0.4299 eV/atom.



Record 13
Density functional theory data (PBE) for crystalline MnNi2RuCl at its relaxed geometry.

Structure (POSCAR):
```
MnNi2RuCl
1.0
-0.6227 -1.9444 3.5538
3.2767 -2.3559 -0.7149
2.4853 2.8511 1.9953
Ru Mn Cl Ni
1 1 1 2
direct
0.5000 0.5000 0.5000
0.0000 0.0000 0.5000
0.0000 0.0000 0.0000
0.0000 0.5000 0.0000
0.5000 0.0000 0.0000
```

## Properties
As for the total DFT energy (no corrections): -27.7 eV for the cell shown. The value obtained for the formation energy without anion corrections is 0.8274 eV/atom.



Record 14
Density functional theory data (PBE) for crystalline MnNiSCl2 at its relaxed geometry.

Structure (POSCAR):
```
MnNiSCl2
1.0
4.4731 0.0000 0.0000
0.0000 4.4731 0.0000
0.0000 0.0000 4.7760
Ni S Mn Cl
1 1 1 2
direct
0.0000 0.0000 0.0000
0.0000 0.0000 0.5000
0.5000 0.5000 0.5000
0.0000 0.5000 0.0000
0.5000 0.0000 0.0000
```

## Properties
The calculation puts the energy above the lowest structure with this stoichiometry at 0 meV/atom. As for the total DFT energy (no corrections): -22.9 eV for the cell shown. The value obtained for the formation energy without anion corrections is -0.0172 eV/atom.



Record 15
Density functional theory data (PBE) for crystalline MnNiS2Cl at its relaxed geometry.

Structure (POSCAR):
```
MnNiS2Cl
1.0
-4.1457 -0.4696 -1.9023
-0.1250 -4.3793 1.3535
-1.9706 1.2855 3.9773
Ni S Mn Cl
1 2 1 1
direct
0.5000 0.5000 0.5000
0.0000 0.5000 0.0000
0.5000 0.0000 0.0000
0.0000 0.0000 0.0000
0.0000 0.0000 0.5000
```

## Properties
The calculation puts the energy above the lowest structure with this stoichiometry at 220 meV/atom. As for the total DFT energy (no corrections): -23.0 eV for the cell shown. The value obtained for the formation energy without anion corrections is 0.4043 eV/atom.



Record 16
Density functional theory data (PBE) for crystalline MnNiSCl2 at its relaxed geometry.

Structure (POSCAR):
```
MnNiSCl2
1.0
4.6329 0.0000 0.0000
0.0000 4.6329 0.0000
0.0000 0.0000 4.9231
Ni S Mn Cl
1 1 1 2
direct
0.5000 0.5000 0.5000
0.0000 0.0000 0.5000
0.0000 0.0000 0.0000
0.0000 0.5000 0.0000
0.5000 0.0000 0.0000
```

## Properties
The calculation puts the energy above the lowest structure with this stoichiometry at 167 meV/atom. As for the total DFT energy (no corrections): -22.0 eV for the cell shown. The value obtained for the formation energy without anion corrections is 0.1494 eV/atom.



Record 17
Density functional theory data (PBE) for crystalline MnNiS2Cl at its relaxed geometry.

Structure (POSCAR):
```
MnNiS2Cl
1.0
4.4982 0.0000 0.0000
0.0000 4.4982 0.0000
0.0000 0.0000 4.5508
Ni S Mn Cl
1 2 1 1
direct
0.0000 0.0000 0.0000
0.0000 0.5000 0.0000
0.5000 0.0000 0.0000
0.5000 0.5000 0.5000
0.0000 0.0000 0.5000
```

## Properties
The calculation puts the energy above the lowest structure with this stoichiometry at 0 meV/atom. As for the total DFT energy (no corrections): -24.1 eV for the cell shown. The value obtained for the formation energy without anion corrections is 0.1844 eV/atom.



Record 18
Density functional theory data (PBE) for crystalline Mn2TlNiCl8 at its relaxed geometry.

Structure (POSCAR):
```
Mn2TlNiCl8
1.0
-3.2851 4.9945 2.2226
1.6506 -4.7385 3.9369
7.6282 4.1941 1.8498
Mn Tl Ni Cl
2 1 1 8
direct
0.6667 0.3333 0.2832
0.3333 0.6667 0.7168
0.0000 0.0000 0.0000
0.0000 0.0000 0.5000
0.3333 0.6667 0.9689
0.2953 0.3049 0.3418
0.6951 0.9904 0.3418
0.6667 0.3333 0.0311
0.3049 0.0096 0.6582
0.7047 0.6951 0.6582
0.9904 0.2953 0.6582
0.0096 0.7047 0.3418
```

## Properties
As for the total DFT energy (no corrections): -51.3 eV for the cell shown. The value obtained for the formation energy without anion corrections is -0.8379 eV/atom.



Record 19
Density functional theory data (PBE) for crystalline MnTlNiCl6 at its relaxed geometry.

Structure (POSCAR):
```
MnTlNiCl6
1.0
6.2264 -0.1066 -0.0410
3.0212 5.4463 0.0381
-0.0458 0.0765 7.1600
Mn Tl Ni Cl
1 1 1 6
direct
0.3353 0.3353 0.5000
0.9958 0.9956 0.0001
0.6735 0.6737 0.5001
0.0061 0.3700 0.3207
0.3700 0.0062 0.6792
0.6202 0.3739 0.6881
0.9877 0.6375 0.7034
0.3737 0.6202 0.3119
0.6374 0.9876 0.2964
```

## Properties
As for the total DFT energy (no corrections): -36.0 eV for the cell shown. The value obtained for the formation energy without anion corrections is -0.8411 eV/atom.



Record 20
Density functional theory data (PBE) for crystalline Mn2VNiCl at its relaxed geometry.

Structure (POSCAR):
```
Mn2VNiCl
1.0
-1.1577 2.0840 -3.3047
-2.4697 -3.1042 -1.0924
-3.0466 1.6763 2.1244
Ni Mn Cl V
1 2 1 1
direct
0.0000 0.5000 0.0000
0.0000 0.0000 0.5000
0.5000 0.0000 0.0000
0.0000 0.0000 0.0000
0.5000 0.5000 0.5000
```

## Properties
As for the total DFT energy (no corrections): -30.3 eV for the cell shown. The value obtained for the formation energy without anion corrections is 0.9625 eV/atom.